1.
Cs2IBr5: optimized geometry, GGA-PBE. Values from VASP.

Results
theoretical density: 3.75 g cm⁻³
V: 351.3 Å³/f.u.

Geometry as Quantum ESPRESSO input:
```
&SYSTEM
  ibrav = 0, nat = 8, ntyp = 3
/
ATOMIC_SPECIES
Cs 132.91 Cs.upf
I 126.90 I.upf
Br 79.90 Br.upf
ATOMIC_POSITIONS angstrom
Cs 1.2499 -4.3677 1.8886
Cs 0.1646 0.6646 5.0806
I 0.2931 0.0107 0.1670
Br -3.4661 -0.4418 5.9841
Br -1.2316 -1.4693 2.1277
Br -4.6447 -4.7478 6.5398
Br -2.3352 -5.8099 2.5541
Br -3.0173 -3.4928 4.3447
CELL_PARAMETERS angstrom
-4.2527 1.9557 7.3391
-2.1444 -8.1063 0.9178
7.1908 2.3015 -1.6086
```


2.
Cs4IBr5: optimized geometry, GGA-PBE. Values from VASP.

Results
theoretical density: 3.34 g cm⁻³
V: 526.1 Å³/f.u.

Geometry as Quantum ESPRESSO input:
```
&SYSTEM
  ibrav = 0, nat = 10, ntyp = 3
/
ATOMIC_SPECIES
Cs 132.91 Cs.upf
I 126.90 I.upf
Br 79.90 Br.upf
ATOMIC_POSITIONS angstrom
Cs -3.8614 2.7832 9.7694
Cs -8.8681 1.9721 10.6079
Cs -1.7904 1.6993 5.1907
Cs -6.7971 0.8882 6.0292
I -4.1910 3.0519 1.7433
Br -6.6446 4.8574 10.9139
Br -6.0510 -0.0528 9.4819
Br -4.6131 3.7283 6.3191
Br -4.0196 -1.1819 4.8871
Br -2.2647 1.6492 0.9420
CELL_PARAMETERS angstrom
-5.5948 4.0742 2.3272
-6.1065 -4.7359 5.0656
1.5385 3.9722 8.1996
```


3.
CsIBr: optimized geometry, GGA-PBE. Values from VASP.

Results
theoretical density: 2.99 g cm⁻³
V: 188.6 Å³/f.u.
energy above the most stable polymorph in this dataset: 138.0 meV/atom

Geometry as Quantum ESPRESSO input:
```
&SYSTEM
  ibrav = 0, nat = 6, ntyp = 3
/
ATOMIC_SPECIES
Cs 132.91 Cs.upf
I 126.90 I.upf
Br 79.90 Br.upf
ATOMIC_POSITIONS angstrom
Cs -4.3961 -1.1895 2.3041
Cs -10.2372 -1.3280 4.2529
I -8.8884 -4.5656 6.3361
I -5.7448 2.0481 0.2208
Br -7.7328 0.5538 2.0053
Br -6.9004 -3.0713 4.5516
CELL_PARAMETERS angstrom
-1.7214 4.4372 1.7977
-3.4685 0.1642 -3.7267
-9.4433 -7.1189 8.4860
```


4.
CsIBr2: optimized geometry, GGA-PBE. Values from VASP.

Results
theoretical density: 2.75 g cm⁻³
V: 253.5 Å³/f.u.

Geometry as Quantum ESPRESSO input:
```
&SYSTEM
  ibrav = 0, nat = 8, ntyp = 3
/
ATOMIC_SPECIES
Cs 132.91 Cs.upf
I 126.90 I.upf
Br 79.90 Br.upf
ATOMIC_POSITIONS angstrom
Cs 0.0000 0.0000 8.0673
Cs 0.0000 0.0000 0.0000
I 3.0117 1.7388 12.1009
I 0.0000 3.4776 4.0336
Br 3.0117 1.7388 9.3638
Br 3.0117 1.7388 14.8380
Br 0.0000 3.4776 6.7707
Br 0.0000 3.4776 1.2965
CELL_PARAMETERS angstrom
6.0234 0.0000 0.0000
-3.0117 5.2164 0.0000
0.0000 0.0000 16.1345
```


5.
Cs8I5Br3: optimized geometry, GGA-PBE. Values from VASP.

Results
theoretical density: 3.56 g cm⁻³
V: 903.6 Å³/f.u.

Geometry as Quantum ESPRESSO input:
```
&SYSTEM
  ibrav = 0, nat = 16, ntyp = 3
/
ATOMIC_SPECIES
Cs 132.91 Cs.upf
I 126.90 I.upf
Br 79.90 Br.upf
ATOMIC_POSITIONS angstrom
Cs 3.1374 2.2119 10.7215
Cs 4.7520 6.7387 13.4744
Cs 7.9434 2.2119 13.4744
Cs 9.4791 6.6830 16.1070
Cs 9.4075 6.6326 10.9184
Cs 7.7929 2.1058 8.1655
Cs 4.6015 6.6326 8.1655
Cs 3.0658 2.1615 5.5329
I 4.6947 0.0000 2.6892
I 6.2719 4.4219 5.3783
I 0.0000 0.0000 0.0000
I 1.5772 4.4219 2.6892
I 6.2724 4.4222 10.8199
Br 4.6953 0.0004 8.1308
Br 0.0005 0.0004 5.4416
Br 1.5777 4.4222 8.1308
CELL_PARAMETERS angstrom
9.3894 0.0000 5.3783
3.1544 8.8437 5.3783
0.0011 0.0008 10.8833
```


6.
Cs3I2Br: optimized geometry, GGA-PBE. Values from VASP.

Results
theoretical density: 3.57 g cm⁻³
V: 341.0 Å³/f.u.

Geometry as Quantum ESPRESSO input:
```
&SYSTEM
  ibrav = 0, nat = 12, ntyp = 3
/
ATOMIC_SPECIES
Cs 132.91 Cs.upf
I 126.90 I.upf
Br 79.90 Br.upf
ATOMIC_POSITIONS angstrom
Cs -6.8419 -5.6927 -0.8805
Cs -2.8914 -3.2534 1.7570
Cs 1.2484 -1.0235 4.4280
Cs -2.2107 2.7022 6.1346
Cs -5.7747 -0.4718 -1.8009
Cs -6.1612 0.2629 3.4971
I 0.4803 -3.2266 7.4891
I -5.5192 2.6138 0.4764
I -9.5329 0.2360 -2.2350
I -3.5333 -5.6043 4.7778
Br -2.4958 -0.3294 4.0103
Br -6.5568 -2.6612 1.2438
CELL_PARAMETERS angstrom
-5.0893 -7.6157 -1.9884
2.4968 -2.0470 8.8560
-6.4601 6.6722 -1.6135
```


7.
Cs3I2Br: optimized geometry, GGA-PBE. Values from VASP.

Results
theoretical density: 3.57 g cm⁻³
V: 340.7 Å³/f.u.

Geometry as Quantum ESPRESSO input:
```
&SYSTEM
  ibrav = 0, nat = 6, ntyp = 3
/
ATOMIC_SPECIES
Cs 132.91 Cs.upf
I 126.90 I.upf
Br 79.90 Br.upf
ATOMIC_POSITIONS angstrom
Cs 1.3906 1.3532 5.2991
Cs 0.0000 0.0000 0.0000
Cs -3.9208 1.1299 3.4580
I -0.7101 2.9708 2.3882
I -1.8202 -0.4877 6.3688
Br -3.1545 -1.7861 1.2839
CELL_PARAMETERS angstrom
-2.7902 4.6083 -0.4446
-6.3090 -3.5723 2.5678
6.5690 1.4471 6.6338
```


8.
Cs2I3Br2: optimized geometry, GGA-PBE. Values from VASP.

Results
theoretical density: 3.49 g cm⁻³
V: 383.6 Å³/f.u.

Geometry as Quantum ESPRESSO input:
```
&SYSTEM
  ibrav = 0, nat = 7, ntyp = 3
/
ATOMIC_SPECIES
Cs 132.91 Cs.upf
I 126.90 I.upf
Br 79.90 Br.upf
ATOMIC_POSITIONS angstrom
Cs -6.7616 -6.3803 9.9173
Cs -3.9178 0.8637 0.6266
I -2.6431 -1.5187 5.2742
I 0.0000 0.0000 0.0000
I -3.8831 -2.3505 7.8254
Br -1.2881 -0.8712 2.6549
Br -5.2381 -2.9980 10.4447
CELL_PARAMETERS angstrom
-0.9140 5.1285 -1.8205
-4.1531 -1.6474 -2.5557
-5.6122 -8.9977 14.9201
```


9.
CsI4Br: optimized geometry, GGA-PBE. Values from VASP.

Results
theoretical density: 3.51 g cm⁻³
V: 340.8 Å³/f.u.

Geometry as Quantum ESPRESSO input:
```
&SYSTEM
  ibrav = 0, nat = 12, ntyp = 3
/
ATOMIC_SPECIES
Cs 132.91 Cs.upf
I 126.90 I.upf
Br 79.90 Br.upf
ATOMIC_POSITIONS angstrom
Cs -0.7645 -1.5824 6.2901
Cs 8.7450 2.9821 2.3402
I 0.6154 -4.1287 3.2411
I 1.3450 -1.4122 2.8873
I 3.0339 0.3373 7.3930
I 8.1962 -0.6935 3.9422
I 7.3651 5.5284 5.3892
I 6.6355 2.8119 5.7430
I 4.9466 1.0624 1.2373
I -0.2157 2.0932 4.6881
Br 1.9552 1.4446 2.7312
Br 6.0252 -0.0449 5.8991
CELL_PARAMETERS angstrom
-7.2779 1.3700 5.2829
4.3969 -6.3880 1.4432
10.8614 6.4176 1.9042
```


10.
Cs2InI6Br: optimized geometry, GGA-PBE. Values from VASP.

Results
theoretical density: 4.24 g cm⁻³
V: 478.8 Å³/f.u.

Geometry as Quantum ESPRESSO input:
```
&SYSTEM
  ibrav = 0, nat = 10, ntyp = 4
/
ATOMIC_SPECIES
Cs 132.91 Cs.upf
I 126.90 I.upf
Br 79.90 Br.upf
In 114.82 In.upf
ATOMIC_POSITIONS angstrom
Cs 8.5524 4.2762 3.2726
Cs 4.2762 8.5524 3.2726
I 4.2762 4.2762 3.6065
I 8.5524 8.5524 2.9388
I 2.0924 2.0924 0.0000
I 6.4600 6.4600 0.0000
I 6.4600 2.0924 0.0000
I 2.0924 6.4600 0.0000
Br 4.2762 4.2762 0.0000
In 0.0000 0.0000 0.0000
CELL_PARAMETERS angstrom
8.5524 0.0000 0.0000
0.0000 8.5524 0.0000
4.2762 4.2762 6.5453
```


11.
CsInIBr2: optimized geometry, GGA-PBE. Values from VASP.

Results
theoretical density: 4.31 g cm⁻³
V: 205.7 Å³/f.u.
energy above the most stable polymorph in this dataset: 0.0 meV/atom

Geometry as Quantum ESPRESSO input:
```
&SYSTEM
  ibrav = 0, nat = 5, ntyp = 4
/
ATOMIC_SPECIES
Cs 132.91 Cs.upf
I 126.90 I.upf
Br 79.90 Br.upf
In 114.82 In.upf
ATOMIC_POSITIONS angstrom
Cs 2.9045 2.9045 3.0479
I 0.0000 0.0000 3.0479
Br 0.0000 2.9045 0.0000
Br 2.9045 0.0000 0.0000
In 0.0000 0.0000 0.0000
CELL_PARAMETERS angstrom
5.8090 0.0000 0.0000
0.0000 5.8090 0.0000
0.0000 0.0000 6.0959
```


12.
Cs3In2I5Br2: optimized geometry, GGA-PBE. Values from VASP.

Results
theoretical density: 4.10 g cm⁻³
V: 576.6 Å³/f.u.

Geometry as Quantum ESPRESSO input:
```
&SYSTEM
  ibrav = 0, nat = 12, ntyp = 4
/
ATOMIC_SPECIES
Cs 132.91 Cs.upf
In 114.82 In.upf
I 126.90 I.upf
Br 79.90 Br.upf
ATOMIC_POSITIONS angstrom
Cs 0.0000 0.0000 5.6779
Cs 3.0654 3.0654 9.6617
Cs 0.0000 0.0000 0.0000
In 0.0000 0.0000 12.1272
In 3.0654 3.0654 3.2124
I 3.0654 0.0000 3.0893
I 0.0000 3.0654 12.2503
I 0.0000 3.0654 3.0893
I 3.0654 0.0000 12.2503
I 3.0654 3.0654 0.0000
Br 3.0654 3.0654 6.0709
Br 0.0000 0.0000 9.2687
CELL_PARAMETERS angstrom
6.1307 0.0000 0.0000
0.0000 6.1307 0.0000
-3.0654 -3.0654 15.3396
```


13.
Cs3In2I2Br5: optimized geometry, GGA-PBE. Values from VASP.

Results
theoretical density: 4.14 g cm⁻³
V: 514.0 Å³/f.u.

Geometry as Quantum ESPRESSO input:
```
&SYSTEM
  ibrav = 0, nat = 12, ntyp = 4
/
ATOMIC_SPECIES
Cs 132.91 Cs.upf
In 114.82 In.upf
I 126.90 I.upf
Br 79.90 Br.upf
ATOMIC_POSITIONS angstrom
Cs 1.4883 -0.5961 5.1652
Cs 1.0086 -4.7971 9.6117
Cs 0.0000 0.0000 0.0000
In 3.4314 -1.3743 11.9090
In -0.9346 -4.0188 2.8680
I -0.0820 -4.3603 5.8269
I 2.5789 -1.0328 8.9501
Br -1.8453 -1.3219 3.3677
Br 4.3422 -4.0712 11.4093
Br 1.6768 -3.0037 2.1588
Br 0.8201 -2.3894 12.6182
Br -1.7394 -3.6965 0.0746
CELL_PARAMETERS angstrom
-5.2615 -2.0147 1.2836
1.7827 -5.3783 -1.1343
5.9758 1.9998 14.6277
```


14.
Cs2InI3Br: optimized geometry, GGA-PBE. Values from VASP.

Results
theoretical density: 4.06 g cm⁻³
V: 344.0 Å³/f.u.

Geometry as Quantum ESPRESSO input:
```
&SYSTEM
  ibrav = 0, nat = 7, ntyp = 4
/
ATOMIC_SPECIES
Cs 132.91 Cs.upf
In 114.82 In.upf
I 126.90 I.upf
Br 79.90 Br.upf
ATOMIC_POSITIONS angstrom
Cs 2.8943 3.0222 2.7585
Cs 0.0000 0.0000 7.0734
In 0.0000 0.0000 0.0000
I 0.0000 3.0222 0.0000
I 0.0000 0.0000 3.1824
I 2.8943 3.0222 6.6495
Br 2.8943 0.0000 0.0000
CELL_PARAMETERS angstrom
5.7885 0.0000 0.0000
0.0000 6.0444 0.0000
-2.8943 -3.0222 9.8319
```


15.
CsInI2Br: optimized geometry, GGA-PBE. Values from VASP.

Results
theoretical density: 4.39 g cm⁻³
V: 220.0 Å³/f.u.

Geometry as Quantum ESPRESSO input:
```
&SYSTEM
  ibrav = 0, nat = 5, ntyp = 4
/
ATOMIC_SPECIES
Cs 132.91 Cs.upf
I 126.90 I.upf
Br 79.90 Br.upf
In 114.82 In.upf
ATOMIC_POSITIONS angstrom
Cs -0.1667 -5.2185 0.3391
I 2.1800 -1.8057 1.2066
I -0.3189 -1.9572 -2.3530
Br -2.0278 -1.4555 1.4855
In 0.0000 0.0000 0.0000
CELL_PARAMETERS angstrom
-0.6378 -3.9145 -4.7060
4.3600 -3.6115 2.4132
-4.0556 -2.9110 2.9710
```


16.
CsIn2IBr2: optimized geometry, GGA-PBE. Values from VASP.

Results
theoretical density: 3.62 g cm⁻³
V: 298.1 Å³/f.u.

Geometry as Quantum ESPRESSO input:
```
&SYSTEM
  ibrav = 0, nat = 12, ntyp = 4
/
ATOMIC_SPECIES
Cs 132.91 Cs.upf
In 114.82 In.upf
I 126.90 I.upf
Br 79.90 Br.upf
ATOMIC_POSITIONS angstrom
Cs -7.3689 2.2859 2.0241
Cs -6.4214 0.1683 -2.8444
In -2.8977 2.6062 0.1869
In -1.6889 -0.4480 -0.6599
In -12.1014 2.9022 -0.1605
In -10.8926 -0.1520 -1.0073
I -6.6775 -1.7259 3.6220
I -7.1128 4.1801 -4.4424
Br -4.4158 0.0491 0.4485
Br -8.3784 -1.3830 -0.0427
Br -9.3745 2.4051 -1.2689
Br -5.4119 3.8373 -0.7776
CELL_PARAMETERS angstrom
-2.4658 6.2300 1.7273
-3.3130 0.7949 -7.5966
-8.0115 -4.5707 5.0490
```


17.
Cs3In2I2Br3: optimized geometry, GGA-PBE. Values from VASP.

Results
theoretical density: 3.34 g cm⁻³
V: 558.5 Å³/f.u.

Geometry as Quantum ESPRESSO input:
```
&SYSTEM
  ibrav = 0, nat = 10, ntyp = 4
/
ATOMIC_SPECIES
Cs 132.91 Cs.upf
In 114.82 In.upf
I 126.90 I.upf
Br 79.90 Br.upf
ATOMIC_POSITIONS angstrom
Cs -1.7938 3.5205 3.5703
Cs 6.6577 7.8909 10.3349
Cs 0.0000 0.0000 0.0000
In 1.5180 7.4458 8.7114
In 3.3459 3.9656 5.1939
I 2.7130 7.1539 5.6659
I 2.1509 4.2576 8.2394
Br 3.2344 9.4801 11.3758
Br -3.4391 1.5705 1.0164
Br 1.6295 1.9313 2.5295
CELL_PARAMETERS angstrom
-2.8770 4.4668 -1.5571
-4.0012 -1.3258 3.5898
11.7421 8.2705 11.8726
```


18.
CsInIBr2: optimized geometry, GGA-PBE. Values from VASP.

Results
theoretical density: 2.38 g cm⁻³
V: 373.3 Å³/f.u.
energy above the most stable polymorph in this dataset: 229.2 meV/atom

Geometry as Quantum ESPRESSO input:
```
&SYSTEM
  ibrav = 0, nat = 5, ntyp = 4
/
ATOMIC_SPECIES
Cs 132.91 Cs.upf
I 126.90 I.upf
Br 79.90 Br.upf
In 114.82 In.upf
ATOMIC_POSITIONS angstrom
Cs -2.8711 -2.4548 -4.8578
I -6.3003 -1.3140 -3.4075
Br -1.8756 -1.1215 1.6753
Br -1.5536 2.2622 -0.2249
In 0.0000 0.0000 0.0000
CELL_PARAMETERS angstrom
-3.1072 4.5245 -0.4499
-5.7422 -4.9096 -9.7156
-3.7512 -2.2430 3.3505
```


19.
CsKIBr: optimized geometry, GGA-PBE. Values from VASP.

Results
theoretical density: 3.72 g cm⁻³
V: 169.3 Å³/f.u.

Geometry as Quantum ESPRESSO input:
```
&SYSTEM
  ibrav = 0, nat = 4, ntyp = 4
/
ATOMIC_SPECIES
Cs 132.91 Cs.upf
I 126.90 I.upf
K 39.10 K.upf
Br 79.90 Br.upf
ATOMIC_POSITIONS angstrom
Cs -3.2111 1.1930 6.7894
I -1.6055 0.5965 3.3947
K 0.0000 0.0000 0.0000
Br -4.8166 1.7895 10.1840
CELL_PARAMETERS angstrom
-2.9348 4.1550 3.5603
-4.4726 -1.8517 3.8885
0.9852 0.0827 6.1299
```


20.
CsKIBr: optimized geometry, GGA-PBE. Values from VASP.

Results
theoretical density: 3.28 g cm⁻³
V: 191.8 Å³/f.u.

Geometry as Quantum ESPRESSO input:
```
&SYSTEM
  ibrav = 0, nat = 4, ntyp = 4
/
ATOMIC_SPECIES
Cs 132.91 Cs.upf
K 39.10 K.upf
I 126.90 I.upf
Br 79.90 Br.upf
ATOMIC_POSITIONS angstrom
Cs -5.8078 -3.7450 -4.2062
K -2.6217 -3.1692 -7.9561
I -8.4536 -5.5138 -6.3791
Br -3.4355 -2.0863 -1.9593
CELL_PARAMETERS angstrom
-1.6581 0.9505 -4.7186
0.4491 -3.5517 -3.6196
-8.0924 -3.9585 -0.7001
```


21.
Cs3K2I3Br2: optimized geometry, GGA-PBE. Values from VASP.

Results
theoretical density: 2.92 g cm⁻³
V: 578.0 Å³/f.u.

Geometry as Quantum ESPRESSO input:
```
&SYSTEM
  ibrav = 0, nat = 10, ntyp = 4
/
ATOMIC_SPECIES
Cs 132.91 Cs.upf
K 39.10 K.upf
I 126.90 I.upf
Br 79.90 Br.upf
ATOMIC_POSITIONS angstrom
Cs 2.8905 2.8905 13.5273
Cs 2.8905 2.8905 0.0000
Cs 0.0000 0.0000 3.7679
K 2.8905 0.0000 8.6476
K 0.0000 2.8905 8.6476
I 2.8905 2.8905 3.9871
I 0.0000 0.0000 13.3081
I 0.0000 0.0000 0.0000
Br 2.8905 2.8905 9.9029
Br 0.0000 0.0000 7.3923
CELL_PARAMETERS angstrom
5.7810 0.0000 0.0000
0.0000 5.7810 0.0000
-2.8905 -2.8905 17.2951
```


22.
Cs2KI2Br6: optimized geometry, GGA-PBE. Values from VASP.

Results
theoretical density: 3.26 g cm⁻³
V: 529.2 Å³/f.u.

Geometry as Quantum ESPRESSO input:
```
&SYSTEM
  ibrav = 0, nat = 11, ntyp = 4
/
ATOMIC_SPECIES
Cs 132.91 Cs.upf
K 39.10 K.upf
I 126.90 I.upf
Br 79.90 Br.upf
ATOMIC_POSITIONS angstrom
Cs 3.9707 2.8317 1.4358
Cs 0.0000 0.6499 6.4504
K 3.9707 -2.4472 4.0273
I 3.9707 3.6004 5.6295
I 0.0000 -0.1188 2.2567
Br 3.9707 1.0374 4.8259
Br -2.1041 5.9705 1.3679
Br 1.8666 -2.4888 6.5183
Br 6.0748 -2.4888 6.5183
Br 2.1041 5.9705 1.3679
Br 0.0000 2.4443 3.0603
CELL_PARAMETERS angstrom
7.9414 0.0000 0.0000
-3.9707 8.3761 -0.1684
0.0000 -4.8944 8.0545
```


23.
CsLaIBr2: optimized geometry, GGA-PBE. Values from VASP.

Results
theoretical density: 4.15 g cm⁻³
V: 223.6 Å³/f.u.

Geometry as Quantum ESPRESSO input:
```
&SYSTEM
  ibrav = 0, nat = 5, ntyp = 4
/
ATOMIC_SPECIES
Cs 132.91 Cs.upf
I 126.90 I.upf
Br 79.90 Br.upf
La 138.91 La.upf
ATOMIC_POSITIONS angstrom
Cs -1.1554 -1.6503 4.8612
I -0.2557 1.7794 2.6188
Br 1.5920 -1.9954 1.5113
Br -2.4917 -1.4342 0.7312
La 0.0000 0.0000 0.0000
CELL_PARAMETERS angstrom
-4.9834 -2.8684 1.4624
3.1840 -3.9909 3.0225
-0.5114 3.5587 5.2376
```


24.
Cs2LaIBr6: optimized geometry, GGA-PBE. Values from VASP.

Results
theoretical density: 3.34 g cm⁻³
V: 502.5 Å³/f.u.

Geometry as Quantum ESPRESSO input:
```
&SYSTEM
  ibrav = 0, nat = 10, ntyp = 4
/
ATOMIC_SPECIES
Cs 132.91 Cs.upf
I 126.90 I.upf
Br 79.90 Br.upf
La 138.91 La.upf
ATOMIC_POSITIONS angstrom
Cs 4.6883 -7.6727 -6.1527
Cs 8.4102 -2.1746 -6.5762
I 3.0618 -2.4854 -5.3581
Br 4.9135 -3.6169 -3.7751
Br 8.1850 -6.2304 -8.9539
Br 1.3316 -1.0809 -2.3302
Br 4.7921 -3.8898 -8.3859
Br 0.9586 -5.5923 -5.1187
Br 5.1650 0.6216 -5.5974
La 0.0000 0.0000 0.0000
CELL_PARAMETERS angstrom
-0.6600 -7.9835 -4.9346
6.7837 3.0128 -5.7816
6.9748 -4.8765 -2.0129
```


In the order shown, the computed formation energy from raw total energies values come out to -921 -1365 -974 -964 -1634 -1625 -1625 -976 -576 -733 -1099 -1092 -1227 -1167 -1007 -900 -1157 -870 -1556 -1629 -1555 -878 -1587 -1438 meV per atom.